## w
Crystalline Sc2AlBr at its relaxed geometry, computed with GGA-PBEsol.

Its space-group type is Pmmm (47). The size of the total moment comes out at 0.00 μB/f.u.

Lattice parameters (Å, degrees): 3.2672 3.3703 7.8933 90.03 90.00 90.00
Closest atoms and distances in Å follow each position.
Fractional positions:
Sc1 0.0000 0.5001 0.7165  2 Br 2.77, 4 Al 2.90
Sc2 0.0000 0.4999 0.2835  2 Br 2.77, 4 Al 2.90
Al1 0.5000 0.0000 0.5000  8 Sc 2.90
Br1 0.5000 0.5000 0.0000  4 Sc 2.77

---

## x
Crystalline Sc2AlBr at its relaxed geometry, computed with GGA-PBEsol.

Its space-group type is R-3m (166). The size of the total moment comes out at 0.00 μB/f.u.

Lattice parameters (Å, degrees): 3.4382 3.4382 8.3346 78.10 78.10 60.00
Closest atoms and distances in Å follow each position.
Fractional positions:
Sc1 0.2517 0.2517 0.2449  3 Al 2.81, 3 Br 2.86
Sc2 0.7483 0.7483 0.7551  3 Al 2.81, 3 Br 2.86
Al1 0.0000 0.0000 0.0000  6 Sc 2.81
Br1 0.5000 0.5000 0.5000  6 Sc 2.86

---

## y
Crystalline Sc2AlBr at its relaxed geometry, computed with GGA-PBEsol.

Its space-group type is P4/mmm (123). The size of the total moment comes out at 0.23 μB/f.u.

Lattice parameters (Å, degrees): 3.2050 3.2050 7.8022 90.00 90.00 90.00
Closest atoms and distances in Å follow each position.
Fractional positions:
Sc1 0.0000 0.0000 0.7634  4 Al 2.92, 4 Br 3.06, 4 Sc 3.21
Sc2 0.0000 0.0000 0.2366  4 Al 2.92, 4 Br 3.06, 4 Sc 3.21
Al1 0.5000 0.5000 0.0000  8 Sc 2.92, 4 Al 3.21
Br1 0.5000 0.5000 0.5000  8 Sc 3.06, 4 Br 3.21

---

Which structure is most stable? w, by 56 meV per atom over the runner-up.

---

## w
Crystalline ScAlBr2 at its relaxed geometry, computed with GGA-PBEsol.

Its space-group type is Immm (71). The size of the total moment comes out at 0.00 μB/f.u.

Lattice parameters (Å, degrees): 3.4149 4.8556 7.3288 109.35 103.47 90.00
Closest atoms and distances in Å follow each position.
Fractional positions:
Sc1 0.0000 0.5000 0.0000  4 Br 2.70, 4 Al 2.97
Al1 0.5000 0.0000 0.0000  4 Sc 2.97, 4 Br 3.21
Br1 0.6563 0.6563 0.3127  2 Sc 2.70
Br2 0.3437 0.3437 0.6873  2 Sc 2.70

---

## x
Crystalline ScAlBr2 at its relaxed geometry, computed with GGA-PBEsol.

Its space-group type is F-43m (216). The size of the total moment comes out at 1.73 μB/f.u.

Lattice parameters (Å, degrees): 5.0830 5.0830 5.0830 60.00 60.00 60.00
Closest atoms and distances in Å follow each position.
Fractional positions:
Sc1 0.2500 0.2500 0.2500  4 Al 3.11, 4 Br 3.11
Al1 0.5000 0.5000 0.5000  4 Br 3.11, 4 Sc 3.11
Br1 0.0000 0.0000 0.0000  4 Br 3.11, 4 Sc 3.11
Br2 0.7500 0.7500 0.7500  4 Al 3.11, 4 Br 3.11

---

## y
Crystalline ScAlBr2 at its relaxed geometry, computed with GGA-PBEsol.

Its space-group type is I-42d (122). The size of the total moment comes out at 0.00 μB/f.u.

Lattice parameters (Å, degrees): 8.7897 6.8861 8.7897 50.34 90.00 129.66
Closest atoms and distances in Å follow each position.
Fractional positions:
Sc1 0.7500 0.5000 0.7500  4 Br 2.61
Sc2 0.0000 0.0000 0.0000  4 Br 2.61
Al1 0.2500 0.5000 0.2500  2 Sc 2.96
Al2 0.5000 0.0000 0.5000  2 Sc 2.96
Br1 0.7383 0.7500 0.3750  2 Sc 2.61
Br2 0.0116 0.7500 0.8750  2 Sc 2.61
Br3 0.8750 0.2500 0.7383  2 Sc 2.61
Br4 0.3750 0.2500 0.0116  2 Sc 2.61

---

Which structure is most stable? w, by 166 meV per atom over the runner-up.

---

## w
Crystalline Al2SeBr at its relaxed geometry, computed with GGA-PBEsol.

Its space-group type is Imm2 (44). The size of the total moment comes out at 0.00 μB/f.u.

Lattice parameters (Å, degrees): 3.4378 5.5697 5.5697 64.04 72.02 72.02
Closest atoms and distances in Å follow each position.
Fractional positions:
Br1 0.4713 0.5287 0.5287  2 Al 2.65
Se1 0.2949 0.2051 0.2051  2 Al 2.44
Al1 0.9912 0.0088 0.0088  2 Se 2.44
Al2 0.7426 0.7574 0.7574  2 Br 2.65, 2 Al 2.80

---

## x
Crystalline Al2SeBr at its relaxed geometry, computed with GGA-PBEsol.

Its space-group type is I-4m2 (119). The size of the total moment comes out at 0.00 μB/f.u.

Lattice parameters (Å, degrees): 3.8569 3.8569 6.7104 106.70 106.70 90.00
Closest atoms and distances in Å follow each position.
Fractional positions:
Br1 0.5000 0.5000 0.0000  4 Al 2.73
Se1 0.2500 0.7500 0.5000  4 Al 2.73
Al1 0.0000 0.0000 0.0000  4 Br 2.73
Al2 0.7500 0.2500 0.5000  4 Se 2.73

---

## y
Crystalline Al2SeBr at its relaxed geometry, computed with GGA-PBEsol.

Its space-group type is Cmmm (65). The size of the total moment comes out at 0.00 μB/f.u.

Lattice parameters (Å, degrees): 3.6759 3.5570 7.9171 90.00 90.00 121.11
Closest atoms and distances in Å follow each position.
Fractional positions:
Br1 0.5000 0.0000 0.5000  4 Al 2.83
Se1 0.5000 0.0000 0.0000  4 Al 2.57
Al1 0.0000 0.0000 0.7724  2 Se 2.57, 2 Br 2.83
Al2 0.0000 0.0000 0.2276  2 Se 2.57, 2 Br 2.83

---

Which structure is most stable? w, by 123 meV per atom over the runner-up.

---

## w
Crystalline AlSiBr at its relaxed geometry, computed with GGA-PBEsol.

Its space-group type is Fmm2 (42). The size of the total moment comes out at 0.00 μB/f.u.

Lattice parameters (Å, degrees): 3.2697 3.2540 7.1070 83.36 76.70 59.84
Closest atoms and distances in Å follow each position.
Fractional positions:
Si1 0.3592 0.0000 0.2815  2 Al 2.56
Al1 0.0016 0.0000 0.9969  2 Br 2.51, 2 Si 2.56
Br1 0.6392 0.0000 0.7216  2 Al 2.51

---

## x
Crystalline AlSiBr at its relaxed geometry, computed with GGA-PBEsol.

Its space-group type is Imm2 (44). The size of the total moment comes out at 0.00 μB/f.u.

Lattice parameters (Å, degrees): 3.4567 3.8472 5.9221 108.95 106.97 90.00
Closest atoms and distances in Å follow each position.
Fractional positions:
Si1 0.4324 0.4324 0.8648  1 Br 2.47, 4 Al 2.60
Al1 0.9038 0.9038 0.8077  1 Br 2.56, 4 Si 2.60
Br1 0.6638 0.6638 0.3276  1 Si 2.47, 1 Al 2.56

---

## y
Crystalline AlSiBr at its relaxed geometry, computed with GGA-PBEsol.

Its space-group type is P3m1 (156). The size of the total moment comes out at 0.00 μB/f.u.

Lattice parameters (Å, degrees): 3.2654 3.2654 6.8822 90.00 90.00 120.00
Closest atoms and distances in Å follow each position.
Fractional positions:
Si1 0.6667 0.3333 0.2657  3 Al 2.64
Al1 0.0000 0.0000 0.9965  3 Br 2.59, 3 Si 2.64
Br1 0.3333 0.6667 0.7378  3 Al 2.59

---

Which structure is most stable? y, by 31 meV per atom over the runner-up.